[1]
Compound: Pu2UPN5
Source: the Alexandria database
Functional: PBE
Structure: relaxed

Output
Uncorrected energy (eV/atom): -10.3993

abc: 5.511 6.357 6.357
angles: 90.00 90.00 90.00
Atoms (fractional coordinates):
Pu1 0.500 0.675 0.175
Pu2 0.500 0.175 0.325
Pu3 0.500 0.825 0.675
Pu4 0.500 0.325 0.825
U1 0.000 0.500 0.500
U2 0.000 0.000 0.000
P1 0.000 0.000 0.500
P2 0.000 0.500 0.000
N1 0.500 0.500 0.500
N2 0.500 0.000 0.000
N3 0.221 0.141 0.641
N4 0.221 0.859 0.359
N5 0.221 0.359 0.141
N6 0.221 0.641 0.859
N7 0.779 0.141 0.641
N8 0.779 0.641 0.859
N9 0.779 0.859 0.359
N10 0.779 0.359 0.141

---

[2]
Compound: PuU2PN5
Source: the Alexandria database
Functional: PBE
Structure: relaxed

Output
Uncorrected energy (eV/atom): -10.2044

abc: 5.429 6.441 6.441
angles: 90.00 90.00 90.00
Atoms (fractional coordinates):
Pu1 0.000 0.500 0.500
Pu2 0.000 0.000 0.000
U1 0.500 0.674 0.174
U2 0.500 0.174 0.326
U3 0.500 0.826 0.674
U4 0.500 0.326 0.826
P1 0.000 0.000 0.500
P2 0.000 0.500 0.000
N1 0.500 0.500 0.500
N2 0.500 0.000 0.000
N3 0.234 0.141 0.641
N4 0.234 0.859 0.359
N5 0.234 0.359 0.141
N6 0.234 0.641 0.859
N7 0.766 0.141 0.641
N8 0.766 0.641 0.859
N9 0.766 0.859 0.359
N10 0.766 0.359 0.141

---

[3]
Compound: PuVP2N6
Source: the Alexandria database
Functional: PBE
Structure: relaxed

Output
Uncorrected energy (eV/atom): -8.9798

abc: 5.015 6.724 6.724
angles: 92.70 82.85 82.85
Atoms (fractional coordinates):
Pu1 0.250 0.890 0.110
Pu2 0.750 0.110 0.890
V1 0.250 0.279 0.721
V2 0.750 0.721 0.279
P1 0.219 0.778 0.619
P2 0.281 0.381 0.222
P3 0.781 0.222 0.381
P4 0.719 0.619 0.778
N1 0.185 0.989 0.761
N2 0.315 0.239 0.011
N3 0.815 0.011 0.239
N4 0.685 0.761 0.989
N5 0.391 0.805 0.404
N6 0.109 0.596 0.195
N7 0.609 0.195 0.596
N8 0.891 0.404 0.805
N9 0.896 0.733 0.599
N10 0.604 0.401 0.267
N11 0.104 0.267 0.401
N12 0.396 0.599 0.733

---

[4]
Compound: PuZnPN
Source: the Alexandria database
Functional: PBE
Structure: relaxed

Output
Uncorrected energy (eV/atom): -8.1904

abc: 3.885 3.885 10.258
angles: 79.08 79.08 60.00
Atoms (fractional coordinates):
Pu1 0.121 0.121 0.637
Pu2 0.879 0.879 0.363
Zn1 0.696 0.696 0.911
Zn2 0.304 0.304 0.089
P1 0.611 0.611 0.167
P2 0.389 0.389 0.833
N1 0.806 0.806 0.582
N2 0.194 0.194 0.418

---

[5]
Compound: PuZn2PN4
Source: the Alexandria database
Functional: PBE
Structure: relaxed

Output
Uncorrected energy (eV/atom): -7.4667

abc: 5.120 5.120 5.141
angles: 119.86 119.86 90.01
Atoms (fractional coordinates):
Pu1 0.000 0.000 0.000
Zn1 0.750 0.250 0.500
Zn2 0.250 0.750 0.500
P1 0.500 0.500 0.000
N1 0.568 0.568 0.751
N2 0.432 0.817 0.249
N3 0.817 0.432 0.249
N4 0.183 0.183 0.751

---

[6]
Compound: RbPN3
Source: the Alexandria database
Functional: PBE
Structure: relaxed

Output
Uncorrected energy (eV/atom): -2.9047

abc: 5.066 5.066 5.066
angles: 90.00 90.00 90.00
Atoms (fractional coordinates):
P1 0.500 0.500 0.500
Rb1 0.000 0.000 0.000
N1 0.000 0.500 0.000
N2 0.000 0.000 0.500
N3 0.500 0.000 0.000

---

[7]
Compound: RbPN3
Source: the Alexandria database
Functional: PBE
Structure: relaxed

Output
Uncorrected energy (eV/atom): -4.9589

abc: 3.735 3.735 3.735
angles: 90.00 90.00 90.00
Atoms (fractional coordinates):
P1 0.000 0.000 0.000
Rb1 0.500 0.500 0.500
N1 0.000 0.500 0.000
N2 0.000 0.000 0.500
N3 0.500 0.000 0.000

---

[8]
Compound: RbPN2
Source: the Alexandria database
Functional: PBE
Structure: relaxed

Output
Uncorrected energy (eV/atom): -5.6415

abc: 6.786 6.786 6.786
angles: 38.64 38.64 38.64
Atoms (fractional coordinates):
P1 0.000 0.000 0.000
Rb1 0.500 0.500 0.500
N1 0.919 0.919 0.919
N2 0.081 0.081 0.081

---

[9]
Compound: RbPN2
Source: the Alexandria database
Functional: PBE
Structure: relaxed

Output
Uncorrected energy (eV/atom): -5.1989

abc: 7.352 7.352 7.352
angles: 22.67 22.67 22.67
Atoms (fractional coordinates):
P1 0.500 0.500 0.500
Rb1 0.000 0.000 0.000
N1 0.876 0.876 0.876
N2 0.124 0.124 0.124

---

[10]
Compound: RbP3N
Source: the Alexandria database
Functional: PBE
Structure: relaxed

Output
Distance to the lowest polymorph of the same formula (meV/atom): 1602

abc: 7.081 7.081 7.081
angles: 90.00 90.00 90.00
Atoms (fractional coordinates):
P1 0.000 0.500 0.000
P2 0.000 0.000 0.500
P3 0.500 0.000 0.000
Rb1 0.000 0.000 0.000
N1 0.500 0.500 0.500

---

[11]
Compound: RbPN2
Source: the Alexandria database
Functional: PBE
Structure: relaxed

Output
Uncorrected energy (eV/atom): -6.2796

abc: 4.554 6.528 6.265
angles: 112.84 99.97 111.42
Atoms (fractional coordinates):
Rb1 0.095 0.345 0.189
Rb2 0.905 0.655 0.811
P1 0.748 0.998 0.497
P2 0.252 0.002 0.503
N1 0.494 0.066 0.341
N2 0.847 0.775 0.341
N3 0.506 0.934 0.659
N4 0.153 0.225 0.659

---

[12]
Compound: RbP2N
Source: the Alexandria database
Functional: PBE
Structure: relaxed

Output
Uncorrected energy (eV/atom): -4.4369

abc: 4.820 4.820 7.689
angles: 71.73 71.73 90.00
Atoms (fractional coordinates):
P1 0.375 0.125 0.250
P2 0.375 0.625 0.250
P3 0.375 0.625 0.750
P4 0.875 0.625 0.750
Rb1 0.000 0.000 0.000
Rb2 0.750 0.250 0.500
N1 0.500 0.500 0.000
N2 0.250 0.750 0.500

---

no.,V (Å³/atom),ρ (g cm⁻³)
1,12.37,12.3
2,12.51,12.1
3,11.14,6.6
4,16.36,9.0
5,11.96,8.0
6,26.01,2.0
7,10.42,5.1
8,27.38,2.2
9,12.95,4.6
10,71.02,0.9
11,18.58,3.2
12,20.01,3.3